1.
VASP calculation (PBEsol) on CoCu2Cl after structural relaxation.

```
CoCu2Cl
1.0
2.729 -0.006 0.000
-0.024 4.059 0.000
-1.352 -2.027 4.617
Cu Cl Co
2 1 1
Direct
0.500 0.000 0.500 Cu
0.000 0.500 0.500 Cu
0.000 0.000 0.000 Cl
0.500 0.500 0.000 Co
```

Values from the calculation:
crystal system = monoclinic
E above lowest polymorph = 315.9 meV per atom
volume = 12.8 Å³ per atom
total magnetization = 1.4 μB/f.u.
ΔE_f (raw) = 0.52 eV per atom



2.
VASP calculation (PBEsol) on CoCu2Cl after structural relaxation.

```
CoCu2Cl
1.0
2.820 0.000 0.000
0.000 4.018 0.000
0.000 0.000 4.377
Co Cu Cl
1 2 1
Direct
0.000 0.500 0.500 Co
0.000 0.000 0.000 Cu
0.500 0.500 0.000 Cu
0.500 0.000 0.500 Cl
```

Values from the calculation:
crystal system = orthorhombic
E above lowest polymorph = 310.9 meV per atom
volume = 12.4 Å³ per atom
total magnetization = 1.2 μB/f.u.
ΔE_f (raw) = 0.52 eV per atom



3.
VASP calculation (PBEsol) on CoCu2Cl after structural relaxation.

```
CoCu2Cl
1.0
-1.853 -1.435 1.723
2.062 -2.232 0.358
2.349 2.937 4.971
Cl Cu Co
1 2 1
Direct
0.000 0.504 0.514 Cl
0.500 0.497 0.196 Cu
0.000 0.999 0.993 Cu
0.500 0.500 0.796 Co
```

Values from the calculation:
crystal system = monoclinic
E above lowest polymorph = 0.0 meV per atom
volume = 13.9 Å³ per atom
total magnetization = 1.8 μB/f.u.
ΔE_f (raw) = 0.21 eV per atom



4.
VASP calculation (PBEsol) on LaCoCu2Cl after structural relaxation.

```
LaCoCu2Cl
1.0
-4.363 1.572 -2.454
-2.240 -4.701 0.971
-1.907 1.855 4.580
Cu Co Cl La
2 1 1 1
Direct
0.000 0.000 0.500 Cu
0.000 0.500 0.000 Cu
0.500 0.500 0.500 Co
0.500 0.000 0.000 Cl
0.000 0.000 0.000 La
```

Values from the calculation:
crystal system = tetragonal
volume = 29.4 Å³ per atom
total magnetization = 2.5 μB/f.u.
ΔE_f (raw) = 1.14 eV per atom